1.
The following is a GGA-PBE calculation of a geometry-optimized Ba2NiSn4Rh3 structure, from Alexandria.

The structure in CIF format:
```
data_Ba2NiSn4Rh3
_chemical_formula_sum 'Ba2 Ni1 Sn4 Rh3'
_space_group_name_H-M_alt 'P -4 m 2'
_space_group_IT_number 115
_space_group_name_Hall 'P -4 -2'
_cell_length_a 4.7254
_cell_length_b 4.7254
_cell_length_c 10.6889
_cell_angle_alpha 90.00
_cell_angle_beta 90.00
_cell_angle_gamma 90.00
loop_
_atom_site_label
_atom_site_type_symbol
_atom_site_fract_x
_atom_site_fract_y
_atom_site_fract_z
Ba1 Ba 0.0000 0.5000 0.2412
Ni1 Ni 0.5000 0.5000 0.0000
Sn1 Sn 0.0000 0.0000 0.5000
Sn2 Sn 0.0000 0.5000 0.8849
Sn3 Sn 0.5000 0.5000 0.5000
Rh1 Rh 0.0000 0.0000 0.0000
Rh2 Rh 0.0000 0.5000 0.6268
```

* calculated formation energy: -5.210 eV per formula unit

---

2.
The following is a GGA-PBE calculation of a geometry-optimized K2LiIn3Sn4 structure, from Alexandria.

The structure in CIF format:
```
data_K2LiIn3Sn4
_chemical_formula_sum 'K2 Li1 In3 Sn4'
_space_group_name_H-M_alt 'P -4 m 2'
_space_group_IT_number 115
_space_group_name_Hall 'P -4 -2'
_cell_length_a 4.9838
_cell_length_b 4.9838
_cell_length_c 12.4241
_cell_angle_alpha 90.00
_cell_angle_beta 90.00
_cell_angle_gamma 90.00
loop_
_atom_site_label
_atom_site_type_symbol
_atom_site_fract_x
_atom_site_fract_y
_atom_site_fract_z
K1 K 0.0000 0.5000 0.2430
Li1 Li 0.5000 0.5000 0.0000
In1 In 0.0000 0.0000 0.0000
In2 In 0.0000 0.5000 0.6405
Sn1 Sn 0.0000 0.0000 0.5000
Sn2 Sn 0.0000 0.5000 0.8718
Sn3 Sn 0.5000 0.5000 0.5000
```

* calculated formation energy: -1.824 eV per formula unit

---

3.
The following is a GGA-PBE calculation of a geometry-optimized ThHgGeAu structure, from Alexandria.

The structure in CIF format:
```
data_ThHgGeAu
_chemical_formula_sum 'Th4 Hg4 Ge4 Au4'
_space_group_name_H-M_alt 'F -4 3 m'
_space_group_IT_number 216
_space_group_name_Hall 'F -4 2 3'
_cell_length_a 7.1785
_cell_length_b 7.1785
_cell_length_c 7.1785
_cell_angle_alpha 90.00
_cell_angle_beta 90.00
_cell_angle_gamma 90.00
loop_
_atom_site_label
_atom_site_type_symbol
_atom_site_fract_x
_atom_site_fract_y
_atom_site_fract_z
Th1 Th 0.0000 0.0000 0.0000
Hg1 Hg 0.0000 0.0000 0.5000
Ge1 Ge 0.2500 0.2500 0.2500
Au1 Au 0.2500 0.2500 0.7500
```

* calculated formation energy: -1.413 eV per formula unit

---

4.
The following is a GGA-PBE calculation of a geometry-optimized Pm2InPd6 structure, from Alexandria.

The structure in CIF format:
```
data_Pm2InPd6
_chemical_formula_sum 'Pm4 In2 Pd12'
_space_group_name_H-M_alt 'C 1 2/m 1'
_space_group_IT_number 12
_space_group_name_Hall '-C 2y'
_cell_length_a 13.0376
_cell_length_b 8.2861
_cell_length_c 3.7833
_cell_angle_alpha 90.00
_cell_angle_beta 106.83
_cell_angle_gamma 90.00
loop_
_atom_site_label
_atom_site_type_symbol
_atom_site_fract_x
_atom_site_fract_y
_atom_site_fract_z
Pm1 Pm 0.1593 0.0000 0.1572
In1 In 0.0000 0.5000 0.5000
Pd1 Pd 0.0000 0.2611 0.0000
Pd2 Pd 0.1647 0.2689 0.6639
```

* excess energy over the best structure of this formula in the dataset: 231 meV per atom
* calculated formation energy: -4.273 eV per formula unit

---

5.
The following is a GGA-PBE calculation of a geometry-optimized AcGdP structure, from Alexandria.

The structure in CIF format:
```
data_AcGdP
_chemical_formula_sum 'Ac1 Gd1 P1'
_space_group_name_H-M_alt 'P 3 m 1'
_space_group_IT_number 156
_space_group_name_Hall 'P 3 -2"'
_cell_length_a 4.0810
_cell_length_b 4.0810
_cell_length_c 6.9257
_cell_angle_alpha 90.00
_cell_angle_beta 90.00
_cell_angle_gamma 120.00
loop_
_atom_site_label
_atom_site_type_symbol
_atom_site_fract_x
_atom_site_fract_y
_atom_site_fract_z
Ac1 Ac 0.0000 0.0000 0.0000
Gd1 Gd 0.6667 0.3333 0.4884
P1 P 0.3333 0.6667 0.2758
```

* excess energy over the best structure of this formula in the dataset: 0 meV per atom
* calculated formation energy: -2.709 eV per formula unit

---

6.
The following is a GGA-PBE calculation of a geometry-optimized BaLiZnCd2 structure, from Alexandria.

The structure in CIF format:
```
data_BaLiZnCd2
_chemical_formula_sum 'Ba1 Li1 Zn1 Cd2'
_space_group_name_H-M_alt 'P 4/m m m'
_space_group_IT_number 123
_space_group_name_Hall '-P 4 2'
_cell_length_a 5.1647
_cell_length_b 5.1647
_cell_length_c 5.0800
_cell_angle_alpha 90.00
_cell_angle_beta 90.00
_cell_angle_gamma 90.00
loop_
_atom_site_label
_atom_site_type_symbol
_atom_site_fract_x
_atom_site_fract_y
_atom_site_fract_z
Ba1 Ba 0.0000 0.0000 0.0000
Li1 Li 0.5000 0.5000 0.5000
Zn1 Zn 0.5000 0.5000 0.0000
Cd1 Cd 0.0000 0.5000 0.5000
```

* excess energy over the best structure of this formula in the dataset: 0 meV per atom
* calculated formation energy: -0.581 eV per formula unit

---

7.
The following is a GGA-PBE calculation of a geometry-optimized NiCSe2N structure, from Alexandria.

The structure in CIF format:
```
data_NiCSe2N
_chemical_formula_sum 'Ni1 C1 Se2 N1'
_space_group_name_H-M_alt 'P 4/m m m'
_space_group_IT_number 123
_space_group_name_Hall '-P 4 2'
_cell_length_a 5.6968
_cell_length_b 5.6968
_cell_length_c 2.4677
_cell_angle_alpha 90.00
_cell_angle_beta 90.00
_cell_angle_gamma 90.00
loop_
_atom_site_label
_atom_site_type_symbol
_atom_site_fract_x
_atom_site_fract_y
_atom_site_fract_z
Ni1 Ni 0.0000 0.0000 0.0000
C1 C 0.5000 0.5000 0.5000
Se1 Se 0.0000 0.5000 0.5000
N1 N 0.5000 0.5000 0.0000
```

* excess energy over the best structure of this formula in the dataset: 0 meV per atom

---

8.
The following is a GGA-PBE calculation of a geometry-optimized Sm2ZnPd structure, from Alexandria.

The structure in CIF format:
```
data_Sm2ZnPd
_chemical_formula_sum 'Sm2 Zn1 Pd1'
_space_group_name_H-M_alt 'P 4/m m m'
_space_group_IT_number 123
_space_group_name_Hall '-P 4 2'
_cell_length_a 3.6373
_cell_length_b 3.6373
_cell_length_c 7.1299
_cell_angle_alpha 90.00
_cell_angle_beta 90.00
_cell_angle_gamma 90.00
loop_
_atom_site_label
_atom_site_type_symbol
_atom_site_fract_x
_atom_site_fract_y
_atom_site_fract_z
Sm1 Sm 0.0000 0.0000 0.2443
Zn1 Zn 0.5000 0.5000 0.5000
Pd1 Pd 0.5000 0.5000 0.0000
```

* excess energy over the best structure of this formula in the dataset: 6 meV per atom
* calculated formation energy: -2.239 eV per formula unit

---

9.
The following is a GGA-PBE calculation of a geometry-optimized Li2Pr2PuN4 structure, from Alexandria.

The structure in CIF format:
```
data_Li2Pr2PuN4
_chemical_formula_sum 'Li4 Pr4 Pu2 N8'
_space_group_name_H-M_alt 'C 1 2/m 1'
_space_group_IT_number 12
_space_group_name_Hall '-C 2y'
_cell_length_a 12.6644
_cell_length_b 3.4460
_cell_length_c 5.9686
_cell_angle_alpha 90.00
_cell_angle_beta 108.60
_cell_angle_gamma 90.00
loop_
_atom_site_label
_atom_site_type_symbol
_atom_site_fract_x
_atom_site_fract_y
_atom_site_fract_z
Li1 Li 0.1835 0.0000 0.0113
Pr1 Pr 0.1419 0.5000 0.5712
Pu1 Pu 0.0000 0.5000 0.0000
N1 N 0.0280 0.0000 0.7744
N2 N 0.2137 0.5000 0.2266
```

* E_tot: -137.7 eV per cell

---

10.
The following is a GGA-PBE calculation of a geometry-optimized Pm2HoTe structure, from Alexandria.

The structure in CIF format:
```
data_Pm2HoTe
_chemical_formula_sum 'Pm6 Ho3 Te3'
_space_group_name_H-M_alt 'R -3 m'
_space_group_IT_number 166
_space_group_name_Hall '-R 3 2"'
_cell_length_a 3.9301
_cell_length_b 3.9301
_cell_length_c 30.1471
_cell_angle_alpha 90.00
_cell_angle_beta 90.00
_cell_angle_gamma 120.00
loop_
_atom_site_label
_atom_site_type_symbol
_atom_site_fract_x
_atom_site_fract_y
_atom_site_fract_z
Pm1 Pm 0.0000 0.0000 0.2392
Ho1 Ho 0.0000 0.0000 0.0000
Te1 Te 0.0000 0.0000 0.5000
```

* excess energy over the best structure of this formula in the dataset: 52 meV per atom

---

11.
The following is a GGA-PBE calculation of a geometry-optimized Al4PPt structure, from Alexandria.

The structure in CIF format:
```
data_Al4PPt
_chemical_formula_sum 'Al16 P4 Pt4'
_space_group_name_H-M_alt 'F -4 3 m'
_space_group_IT_number 216
_space_group_name_Hall 'F -4 2 3'
_cell_length_a 7.3073
_cell_length_b 7.3073
_cell_length_c 7.3073
_cell_angle_alpha 90.00
_cell_angle_beta 90.00
_cell_angle_gamma 90.00
loop_
_atom_site_label
_atom_site_type_symbol
_atom_site_fract_x
_atom_site_fract_y
_atom_site_fract_z
Al1 Al 0.1249 0.1249 0.1249
P1 P 0.0000 0.0000 0.5000
Pt1 Pt 0.2500 0.2500 0.7500
```

* calculated formation energy: 1.351 eV per formula unit

---

12.
The following is a GGA-PBE calculation of a geometry-optimized NdTm2Sc3Bi6 structure, from Alexandria.

The structure in CIF format:
```
data_NdTm2Sc3Bi6
_chemical_formula_sum 'Nd2 Tm4 Sc6 Bi12'
_space_group_name_H-M_alt 'C 1 2/m 1'
_space_group_IT_number 12
_space_group_name_Hall '-C 2y'
_cell_length_a 7.5899
_cell_length_b 13.1564
_cell_length_c 7.5837
_cell_angle_alpha 90.00
_cell_angle_beta 109.54
_cell_angle_gamma 90.00
loop_
_atom_site_label
_atom_site_type_symbol
_atom_site_fract_x
_atom_site_fract_y
_atom_site_fract_z
Nd1 Nd 0.0000 0.0000 0.0000
Tm1 Tm 0.0000 0.3319 0.0000
Sc1 Sc 0.0000 0.1626 0.5000
Sc2 Sc 0.0000 0.5000 0.5000
Bi1 Bi 0.2404 0.3298 0.7332
Bi2 Bi 0.2462 0.5000 0.2628
```

* calculated formation energy: -8.887 eV per formula unit

---

| no. | density of states at the Fermi level (states/eV per cell) |
| --- | --- |
| 1 | 8.07 |
| 2 | 3.59 |
| 3 | 14.45 |
| 4 | 8.18 |
| 5 | 3.45 |
| 6 | 3.05 |
| 7 | 4.72 |
| 8 | 3.87 |
| 9 | 10.30 |
| 10 | 13.45 |
| 11 | 13.44 |
| 12 | 4.19 |